1.
# Sm2NpN3

Sm2NpN3 after structural relaxation (PBE, Alexandria).

Cell: 6.224 6.039 6.039 Å, 63.68 89.99 89.99°
Fractional positions:
Sm 0.750 0.158 0.493
Sm 0.250 0.493 0.158
Sm 0.750 0.507 0.842
Sm 0.250 0.842 0.507
Np 0.750 0.886 0.114
Np 0.250 0.114 0.886
N 0.250 0.436 0.564
N 0.750 0.564 0.436
N 0.000 0.836 0.836
N 0.500 0.164 0.164
N 0.500 0.836 0.836
N 0.000 0.164 0.164

**Formation energy (no corrections)**: -1.10 eV per atom
**Final energy**: -8.99 eV per atom
**Size of the total moment**: 7.93 μB/cell



2.
# SmNp3N4

SmNp3N4 after structural relaxation (PBE, Alexandria).

Cell: 3.476 6.038 6.038 Å, 109.39 90.00 90.00°
Fractional positions:
Np 0.000 0.000 0.500
Np 0.500 0.500 0.500
Np 0.000 0.500 0.000
Sm 0.500 0.000 0.000
N 0.000 0.267 0.267
N 0.500 0.743 0.257
N 0.000 0.733 0.733
N 0.500 0.257 0.743

**Formation energy (no corrections)**: -1.19 eV per atom
**Final energy**: -10.80 eV per atom
**Size of the total moment**: 9.97 μB/cell